1.
Density functional theory data (PBE) for a geometry-optimized B2OsAu structure.

Formation enthalpy at 0 K in eV per atom: 0.580
ρ in g cm⁻³: 11.7
Excess energy over the best structure of this formula in the dataset in kJ/mol of formula units: 0.0
Crystal system: tetragonal

Cell: 4.904 4.904 9.617 Å, 90.00 90.00 90.00°
Space group I-42d (No. 122)
Asymmetric unit:
B1 0.216 0.250 0.125 (multiplicity 8)
Os1 0.000 0.000 0.000 (multiplicity 4)
Au1 0.000 0.000 0.500 (multiplicity 4)

---

2.
Density functional theory data (PBE) for a geometry-optimized Ba2CaHg6 structure.

Formation enthalpy at 0 K in eV per atom: -0.425
ρ in g cm⁻³: 8.8
Crystal system: trigonal

Cell: 7.1290 7.1290 6.4807 Å, 90.00 90.00 120.00°
Space group P-3m1 (No. 164)
Asymmetric unit:
Ba1 0.3333 0.6667 0.3381 (multiplicity 2)
Ca1 0.0000 0.0000 0.5000 (multiplicity 1)
Hg1 0.1815 0.3631 0.8315 (multiplicity 6)

---

3.
Density functional theory data (PBE) for a geometry-optimized Sn3Ge5Te12 structure.

ρ in g cm⁻³: 5.6
Crystal system: cubic
ΔE_f (raw) in eV per formula unit: 0.130

Cell: 17.489 17.489 17.489 Å, 90.00 90.00 90.00°
Space group Ia-3d (No. 230)
Asymmetric unit:
Sn1 0.000 0.250 0.125 (multiplicity 24)
Ge1 0.000 0.000 0.000 (multiplicity 16)
Ge2 0.000 0.250 0.375 (multiplicity 24)
Te1 0.027 0.063 0.651 (multiplicity 96)

---

4.
Density functional theory data (PBE) for a geometry-optimized Na2CuB2Pd5 structure.

Formation enthalpy at 0 K in eV per atom: -0.213
ρ in g cm⁻³: 7.8
Crystal system: tetragonal

Cell: 9.774 9.774 2.942 Å, 90.00 90.00 90.00°
Space group P4/mbm (No. 127)
Asymmetric unit:
Na1 0.176 0.324 0.000 (multiplicity 4)
Cu1 0.000 0.000 0.000 (multiplicity 2)
B1 0.126 0.626 0.000 (multiplicity 4)
Pd1 0.000 0.500 0.500 (multiplicity 2)
Pd2 0.070 0.781 0.500 (multiplicity 8)

---

5.
Density functional theory data (PBE) for a geometry-optimized ScNiW2 structure.

Formation enthalpy at 0 K in eV per atom: 0.237
ρ in g cm⁻³: 12.1
Excess energy over the best structure of this formula in the dataset in kJ/mol of formula units: 66.8
Crystal system: monoclinic

Cell: 9.353 2.737 5.123 Å, 90.00 100.34 90.00°
Space group Cm (No. 8)
Asymmetric unit:
Sc1 0.000 0.000 0.000 (multiplicity 2)
Ni1 0.247 0.500 0.171 (multiplicity 2)
W1 0.218 0.000 0.678 (multiplicity 2)
W2 0.454 0.000 0.481 (multiplicity 2)

---

6.
Density functional theory data (PBE) for a geometry-optimized Tb2PrPu3Se6 structure.

ρ in g cm⁻³: 9.1
Crystal system: monoclinic
ΔE_f (raw) in eV per formula unit: -20.172

Cell: 18.073 4.141 8.298 Å, 90.00 102.81 90.00°
Space group C2/m (No. 12)
Asymmetric unit:
Tb1 0.167 0.000 0.336 (multiplicity 4)
Pr1 0.000 0.500 0.000 (multiplicity 2)
Pu1 0.000 0.500 0.500 (multiplicity 2)
Pu2 0.165 0.000 0.835 (multiplicity 4)
Se1 0.002 0.000 0.259 (multiplicity 4)
Se2 0.168 0.500 0.583 (multiplicity 4)
Se3 0.170 0.500 0.088 (multiplicity 4)

---

7.
Density functional theory data (PBE) for a geometry-optimized La5Tl4Hg structure.

Formation enthalpy at 0 K in eV per atom: -0.438
ρ in g cm⁻³: 9.1
Crystal system: tetragonal

Cell: 3.868 3.868 20.890 Å, 90.00 90.00 90.00°
Space group P4/mmm (No. 123)
Asymmetric unit:
La1 0.000 0.000 0.000 (multiplicity 1)
La2 0.000 0.000 0.203 (multiplicity 2)
La3 0.000 0.000 0.405 (multiplicity 2)
Tl1 0.500 0.500 0.102 (multiplicity 2)
Tl2 0.500 0.500 0.306 (multiplicity 2)
Hg1 0.500 0.500 0.500 (multiplicity 1)

---

8.
Density functional theory data (PBE) for a geometry-optimized Ac2BiSe structure.

ρ in g cm⁻³: 8.5
Excess energy over the best structure of this formula in the dataset in kJ/mol of formula units: 0.0
Crystal system: orthorhombic
ΔE_f (raw) in eV per formula unit: -5.664

Cell: 4.680 6.648 9.338 Å, 90.00 90.00 90.00°
Space group Pmmn (No. 59, origin choice 2)
Asymmetric unit:
Ac1 0.250 0.250 0.113 (multiplicity 2)
Ac2 0.250 0.250 0.638 (multiplicity 2)
Bi1 0.250 0.750 0.626 (multiplicity 2)
Se1 0.250 0.750 0.122 (multiplicity 2)

---

9.
Density functional theory data (PBE) for a geometry-optimized ZnAgSb structure.

ρ in g cm⁻³: 7.9
Crystal system: triclinic
ΔE_f (raw) in eV per formula unit: 0.248

Cell: 3.121 5.671 7.191 Å, 91.47 101.60 91.89°
Space group P1 (No. 1)
Asymmetric unit:
Zn1 0.000 0.000 0.000 (multiplicity 1)
Zn2 0.383 0.780 0.752 (multiplicity 1)
Ag1 0.404 0.282 0.778 (multiplicity 1)
Ag2 0.769 0.533 0.493 (multiplicity 1)
Sb1 0.068 0.514 0.116 (multiplicity 1)
Sb2 0.137 0.043 0.391 (multiplicity 1)

---

10.
Density functional theory data (PBE) for a geometry-optimized LiPr2Ga3Pd4 structure.

Formation enthalpy at 0 K in eV per atom: -0.760
ρ in g cm⁻³: 7.9
Crystal system: tetragonal

Cell: 4.303 4.303 10.497 Å, 90.00 90.00 90.00°
Space group P-4m2 (No. 115)
Asymmetric unit:
Li1 0.000 0.000 0.000 (multiplicity 1)
Pr1 0.000 0.500 0.746 (multiplicity 2)
Ga1 0.000 0.500 0.371 (multiplicity 2)
Ga2 0.500 0.500 0.000 (multiplicity 1)
Pd1 0.000 0.000 0.500 (multiplicity 1)
Pd2 0.000 0.500 0.131 (multiplicity 2)
Pd3 0.500 0.500 0.500 (multiplicity 1)

---

11.
Density functional theory data (PBE) for a geometry-optimized ScGaHPd2 structure.

E in eV/atom: -5.148
ρ in g cm⁻³: 7.9
Crystal system: tetragonal

Cell: 4.059 4.059 4.181 Å, 90.00 90.00 90.00°
Space group P4/mmm (No. 123)
Asymmetric unit:
Sc1 0.000 0.000 0.000 (multiplicity 1)
Ga1 0.500 0.500 0.000 (multiplicity 1)
H1 0.000 0.000 0.500 (multiplicity 1)
Pd1 0.000 0.500 0.500 (multiplicity 2)

---

12.
Density functional theory data (PBE) for a geometry-optimized FeRe2Pb structure.

Formation enthalpy at 0 K in eV per atom: 0.938
ρ in g cm⁻³: 16.2
Crystal system: tetragonal

Cell: 3.910 3.910 4.265 Å, 90.00 90.00 90.00°
Space group P4/mmm (No. 123)
Asymmetric unit:
Fe1 0.000 0.000 0.000 (multiplicity 1)
Re1 0.000 0.500 0.500 (multiplicity 2)
Pb1 0.500 0.500 0.000 (multiplicity 1)

---

13.
Density functional theory data (PBE) for a geometry-optimized Li2AcLaTl2 structure.

Formation enthalpy at 0 K in eV per atom: -0.291
ρ in g cm⁻³: 7.8
Crystal system: trigonal

Cell: 5.1543 5.1543 7.2944 Å, 90.00 90.00 120.00°
Space group P-3m1 (No. 164)
Asymmetric unit:
Li1 0.3333 0.6667 0.2278 (multiplicity 2)
Ac1 0.0000 0.0000 0.5000 (multiplicity 1)
La1 0.0000 0.0000 0.0000 (multiplicity 1)
Tl1 0.3333 0.6667 0.7678 (multiplicity 2)

---

14.
Density functional theory data (PBE) for a geometry-optimized MnIn3Rh structure.

Formation enthalpy at 0 K in eV per atom: 0.721
ρ in g cm⁻³: 6.9
Excess energy over the best structure of this formula in the dataset in kJ/mol of formula units: 198.2
Crystal system: cubic

Cell: 4.945 4.945 4.945 Å, 90.00 90.00 90.00°
Space group Pm-3m (No. 221)
Asymmetric unit:
Mn1 0.000 0.000 0.000 (multiplicity 1)
In1 0.000 0.000 0.500 (multiplicity 3)
Rh1 0.500 0.500 0.500 (multiplicity 1)

---

15.
Density functional theory data (PBE) for a geometry-optimized Sr3CS structure.

ρ in g cm⁻³: 3.4
Excess energy over the best structure of this formula in the dataset in kJ/mol of formula units: 0.0
Crystal system: cubic
ΔE_f (raw) in eV per formula unit: -1.323

Cell: 5.289 5.289 5.289 Å, 90.00 90.00 90.00°
Space group Pm-3m (No. 221)
Asymmetric unit:
Sr1 0.000 0.000 0.500 (multiplicity 3)
C1 0.000 0.000 0.000 (multiplicity 1)
S1 0.500 0.500 0.500 (multiplicity 1)

---

16.
Density functional theory data (PBE) for a geometry-optimized InPt2Rh structure.

Formation enthalpy at 0 K in eV per atom: -0.164
ρ in g cm⁻³: 15.2
Crystal system: tetragonal

Cell: 3.404 3.404 5.726 Å, 90.00 90.00 90.00°
Space group P4mm (No. 99)
Asymmetric unit:
In1 0.000 0.000 0.000 (multiplicity 1)
Pt1 0.000 0.000 0.506 (multiplicity 1)
Pt2 0.500 0.500 0.262 (multiplicity 1)
Rh1 0.500 0.500 0.737 (multiplicity 1)

---

17.
Density functional theory data (PBE) for a geometry-optimized Sc2Hg2Te structure.

ρ in g cm⁻³: 8.5
Excess energy over the best structure of this formula in the dataset in kJ/mol of formula units: 82.0
Crystal system: tetragonal
ΔE_f (raw) in eV per formula unit: -1.619

Cell: 7.996 7.996 3.767 Å, 90.00 90.00 90.00°
Space group P4/mbm (No. 127)
Asymmetric unit:
Sc1 0.169 0.331 0.000 (multiplicity 4)
Hg1 0.130 0.630 0.500 (multiplicity 4)
Te1 0.000 0.000 0.500 (multiplicity 2)